Pa4GaSe7 after structural relaxation, computed with GGA-PBE.

Calculated values
N(E_F) (states/eV per atom): 1.235
Raw total energy (eV/cell): -79.3
ρ (g/cm3): 7.23
Calculated volume (Å³/atom): 29.58
Raw formation energy (meV/atom): -1162

a = 4.0843 Å, b = 4.0843 Å, c = 24.5736 Å
α = 90.00°, β = 90.00°, γ = 120.00°
Space group P-3m1 (No. 164)
Inequivalent atoms, fractional coordinates:
Pa1 0.3333 0.6667 0.1541
Pa2 0.3333 0.6667 0.4341
Ga1 0.0000 0.0000 0.0000
Se1 0.0000 0.0000 0.2186
Se2 0.0000 0.0000 0.5000
Se3 0.3333 0.6667 0.6316
Se4 0.3333 0.6667 0.9172